Entry 1:
Crystalline Mn3BiAu at its relaxed geometry, computed with PBEsol.

The structure in POSCAR format:
```
Mn3BiAu
1.0
-1.899 -3.593 2.938
2.994 1.478 3.743
-3.547 3.171 1.585
Mn Au Bi
3 1 1
direct
0.000 0.500 0.000
0.000 0.000 0.500
0.500 0.000 0.000
0.500 0.500 0.500
0.000 0.000 0.000
```

Output
Energy of formation from the pure elements: 1.5600 eV/atom
Space group: Pm-3m, No. 221
Size of the total moment: 12.29 μB/cell

=====

Entry 2:
Crystalline MnBiOs2Au at its relaxed geometry, computed with PBEsol.

The structure in POSCAR format:
```
MnBiOs2Au
1.0
-2.277 3.084 -2.965
0.353 -3.212 -3.611
-4.605 -2.066 1.388
Os Mn Au Bi
2 1 1 1
direct
0.000 0.500 0.000
0.500 0.000 0.000
0.500 0.500 0.500
0.000 0.000 0.000
0.000 0.000 0.500
```

Output
Energy of formation from the pure elements: 2.5461 eV/atom
Space group: P4/mmm, No. 123
Size of the total moment: 7.06 μB/cell

=====

Entry 3:
Crystalline MnZnBi2Au at its relaxed geometry, computed with PBEsol.

The structure in POSCAR format:
```
MnZnBi2Au
1.0
-1.613 4.315 -0.670
-3.191 -1.713 -3.352
-3.354 -0.702 3.552
Zn Mn Au Bi
1 1 1 2
direct
0.500 0.000 0.000
0.000 0.000 0.000
0.500 0.500 0.500
0.000 0.000 0.500
0.000 0.500 0.000
```

Output
Energy of formation from the pure elements: 0.4874 eV/atom
Space group: P4/mmm, No. 123
Size of the total moment: 0.01 μB/cell